DySnPbSe3 PBE relaxed; total DFT energy (no corrections) = -4.697 eV/atom
1.0
2.001 -7.434 0.000
2.001 7.434 0.000
0.000 0.000 11.685
Dy Sn Pb Se
2 2 2 6
Direct
0.000 0.000 0.000
0.000 0.000 0.500
0.350 0.650 0.750
0.650 0.350 0.250
0.338 0.662 0.250
0.662 0.338 0.750
0.004 0.996 0.250
0.365 0.635 0.504
0.365 0.635 0.996
0.635 0.365 0.004
0.635 0.365 0.496
0.996 0.004 0.750

NdHICl PBE relaxed; relative energy among the computed polymorphs = 0.0014 eV per atom
1.0
4.032 0.000 0.000
-2.016 3.492 0.000
0.000 0.000 15.173
Nd H I Cl
2 2 2 2
Direct
0.000 0.000 0.237
0.000 0.000 0.763
0.333 0.667 0.758
0.667 0.333 0.242
0.333 0.667 0.382
0.667 0.333 0.618
0.333 0.667 0.124
0.667 0.333 0.876

TlCo2W PBE relaxed; total DFT energy (no corrections) = -6.532 eV/atom
1.0
0.000 3.096 3.096
3.096 0.000 3.096
3.096 3.096 0.000
Tl Co W
1 2 1
Direct
0.000 0.000 0.000
0.500 0.500 0.500
0.750 0.750 0.750
0.250 0.250 0.250

Ta4FeSiC2 PBE relaxed; total DFT energy (no corrections) = -10.325 eV/atom
1.0
3.115 0.000 0.000
-1.558 2.698 0.000
0.000 0.000 12.873
Ta Fe Si C
4 1 1 2
Direct
0.000 0.000 0.150
0.000 0.000 0.850
0.333 0.667 0.347
0.333 0.667 0.653
0.333 0.667 0.000
0.000 0.000 0.500
0.667 0.333 0.248
0.667 0.333 0.752